Pr8Sm6Ho | PBE-GGA | relaxed

a = 9.556 Å, b = 9.556 Å, c = 6.722 Å
α = 90.00°, β = 90.00°, γ = 120.00°
Positions (direct):
Pr  0.031  0.284  0.335
Pr  0.253  0.969  0.335
Pr  0.284  0.253  0.665
Pr  0.333  0.667  0.385
Pr  0.667  0.333  0.615
Pr  0.716  0.747  0.335
Pr  0.747  0.031  0.665
Pr  0.969  0.716  0.665
Sm  0.088  0.432  0.844
Sm  0.344  0.912  0.844
Sm  0.432  0.344  0.156
Sm  0.568  0.656  0.844
Sm  0.656  0.088  0.156
Sm  0.912  0.568  0.156
Ho  0.000  0.000  0.000

For the raw total energy, the calculation gives -4.58 eV per atom. The value obtained for the formation energy is 2.425 eV/f.u. Its crystal system is trigonal. As for the energy above the lowest structure with this stoichiometry: 1.0 kJ/mol of atoms. The value obtained for the density of states at the Fermi level is 22.54 states/eV/f.u. The calculation puts the volume at 531.61 Å³/cell.